An optimized crystal structure of Li2BeAu2. Source: Alexandria, functional PBE.

Cell: 6.967 6.967 2.910 Å, 90.00 90.00 90.00°
Space group P4/mbm (No. 127)
Symmetry-distinct sites (fractional):
Li 0.119 0.381 0.000 [4 per cell]
Be 0.000 0.000 0.000 [2 per cell]
Au 0.182 0.682 0.500 [4 per cell]

Values from the calculation:
Offset from the most stable computed form ... 0.225 eV/atom
Final energy ... -0.215 Ry/atom